No. 1
## KTl6Pb2 (PBE)

Data for crystalline KTl6Pb2 at its relaxed geometry.

Cell lengths 9.0052, 9.0052, 9.0052 Å; angles 142.84, 134.27, 60.33 degrees
Element x y z (fractional)
K (0.0000, 0.0000, 0.0000)
Tl (0.0578, 0.2986, 0.7592)
Tl (0.2772, 0.5000, 0.7772)
Tl (0.4606, 0.7014, 0.7592)
Tl (0.5394, 0.2986, 0.2408)
Tl (0.7228, 0.5000, 0.2228)
Tl (0.9422, 0.7014, 0.2408)
Pb (0.3894, 0.8894, 0.5000)
Pb (0.6106, 0.1106, 0.5000)

## Properties
**Crystal system**: orthorhombic
**Energy above the lowest structure with this stoichiometry**: 51.7 meV/atom
**Energy of formation**: 0.0241 eV per atom

No. 2
## Te2AsPb (PBE)

Data for crystalline Te2AsPb at its relaxed geometry.

Cell lengths 8.5355, 8.5355, 8.5355 Å; angles 27.90, 27.90, 27.90 degrees
Element x y z (fractional)
Te (0.0000, 0.0000, 0.0000)
Te (0.1917, 0.1917, 0.1917)
As (0.5965, 0.5965, 0.5965)
Pb (0.7653, 0.7653, 0.7653)

## Properties
**Formation energy without anion corrections**: -28 meV/atom
**Crystal system**: trigonal
**Energy above the lowest structure with this stoichiometry**: 45.2 meV/atom

No. 3
## As5Pb (PBE)

Data for crystalline As5Pb at its relaxed geometry.

Cell lengths 5.9403, 5.9403, 8.1973 Å; angles 108.92, 108.92, 36.23 degrees
Element x y z (fractional)
As (0.0000, 0.0000, 0.0000)
As (0.3368, 0.3368, 0.2453)
As (0.5082, 0.5082, 0.7958)
As (0.5706, 0.5706, 0.3292)
As (0.9746, 0.9746, 0.4687)
Pb (0.2565, 0.2565, 0.8539)

## Properties
**Crystal system**: monoclinic
**Energy above the lowest structure with this stoichiometry**: 34.7 meV/atom
**Energy of formation**: 0.1804 eV per atom

No. 4
## ScGaSn2 (PBE)

Data for crystalline ScGaSn2 at its relaxed geometry.

Cell lengths 3.9309, 3.9309, 5.9717 Å; angles 90.00, 90.00, 90.00 degrees
Element x y z (fractional)
Sc (0.0000, 0.0000, 0.0000)
Ga (0.0000, 0.0000, 0.5000)
Sn (0.5000, 0.5000, 0.2477)
Sn (0.5000, 0.5000, 0.7523)

## Properties
**Crystal system**: tetragonal
**Energy of formation**: -0.2795 eV per atom

No. 5
## CuSI2N (PBE)

Data for crystalline CuSI2N at its relaxed geometry.

Cell lengths 6.0018, 6.0018, 3.3434 Å; angles 90.00, 90.00, 90.00 degrees
Element x y z (fractional)
Cu (0.0000, 0.0000, 0.0000)
S (0.5000, 0.5000, 0.5000)
I (0.0000, 0.5000, 0.5000)
I (0.5000, 0.0000, 0.5000)
N (0.5000, 0.5000, 0.0000)

## Properties
**Formation energy without anion corrections**: 973 meV/atom
**Crystal system**: tetragonal
**Energy above the lowest structure with this stoichiometry**: 0.0 meV/atom

No. 6
## CsNbIn2F8 (PBE)

Data for crystalline CsNbIn2F8 at its relaxed geometry.

Cell lengths 5.0769, 6.6744, 8.4369 Å; angles 90.16, 90.29, 94.39 degrees
Element x y z (fractional)
Cs (0.0000, 0.0000, 0.0000)
Nb (0.0000, 0.0000, 0.5000)
In (0.5003, 0.5003, 0.2233)
In (0.4997, 0.4997, 0.7767)
F (0.1190, 0.8253, 0.3332)
F (0.1225, 0.8269, 0.6667)
F (0.3323, 0.1604, 0.4996)
F (0.4935, 0.2881, 0.9996)
F (0.5065, 0.7119, 0.0004)
F (0.6677, 0.8396, 0.5004)
F (0.8775, 0.1731, 0.3333)
F (0.8810, 0.1747, 0.6667)

## Properties
**Formation energy without anion corrections**: -2591 meV/atom
**Crystal system**: triclinic

No. 7
## SbP2Rh (PBE)

Data for crystalline SbP2Rh at its relaxed geometry.

Cell lengths 6.9847, 6.9847, 6.9847 Å; angles 28.59, 28.59, 28.59 degrees
Element x y z (fractional)
Sb (0.0000, 0.0000, 0.0000)
P (0.4980, 0.4980, 0.4980)
P (0.7674, 0.7674, 0.7674)
Rh (0.2448, 0.2448, 0.2448)

## Properties
**Formation energy without anion corrections**: -43 meV/atom
**Crystal system**: trigonal

No. 8
## ZrBRu2Rh (PBE)

Data for crystalline ZrBRu2Rh at its relaxed geometry.

Cell lengths 4.1543, 4.1543, 4.0956 Å; angles 90.00, 90.00, 90.00 degrees
Element x y z (fractional)
Zr (0.0000, 0.0000, 0.0000)
B (0.5000, 0.5000, 0.5000)
Ru (0.0000, 0.5000, 0.5000)
Ru (0.5000, 0.0000, 0.5000)
Rh (0.5000, 0.5000, 0.0000)

## Properties
**Crystal system**: tetragonal
**Energy of formation**: -0.5634 eV per atom

Number 1: total magnetic moment 0.00 μB/atom, volume 312.67 Å³ per cell. Number 2: total magnetic moment 0.00 μB/atom, volume 120.23 Å³ per cell. Number 3: total magnetic moment 0.00 μB/atom, volume 160.71 Å³ per cell. Number 4: total magnetic moment 0.00 μB/atom, volume 92.28 Å³ per cell. Number 5: total magnetic moment 0.00 μB/atom, volume 120.44 Å³ per cell. Number 6: total magnetic moment 0.00 μB/atom, volume 285.04 Å³ per cell. Number 7: total magnetic moment 0.00 μB/atom, volume 68.97 Å³ per cell. Number 8: total magnetic moment 0.00 μB/atom, volume 70.68 Å³ per cell.